No. 1
Compound: KPdPt3
Source: Alexandria
Functional: GGA-PBE
Structure: optimized geometry

The structure belongs to space group Pm-3m (No. 221); the cell edges are 4.965, 4.965 and 4.965 Å and the angles 90.00°, 90.00° and 90.00°. Symmetry generates all atoms from K at (0.000, 0.000, 0.000), Pd at (0.500, 0.500, 0.500) and Pt at (0.000, 0.500, 0.500).

For the density of states at the Fermi level, the calculation gives 1.39 states/eV per atom. As for the excess energy over the best structure of this formula in the dataset: 0 meV/atom.

=====

No. 2
Compound: K2PdPt2
Source: Alexandria
Functional: GGA-PBE
Structure: optimized geometry

The structure belongs to space group Immm (No. 71); the cell edges are 5.918, 7.114 and 14.239 Å and the angles 90.00°, 90.00° and 90.00°. Symmetry generates all atoms from K at (0.000, 0.229, 0.160), Pd at (0.000, 0.304, 0.500), Pt at (0.000, 0.000, 0.365) and Pt at (0.209, 0.500, 0.000).

For the density of states at the Fermi level, the calculation gives 1.51 states/eV per atom. As for the excess energy over the best structure of this formula in the dataset: 209 meV/atom.

=====

No. 3
Compound: K2PdPt2
Source: Alexandria
Functional: GGA-PBE
Structure: optimized geometry

The structure belongs to space group P4/mbm (No. 127); the cell edges are 6.718, 6.718 and 5.312 Å and the angles 90.00°, 90.00° and 90.00°. Symmetry generates all atoms from K at (0.179, 0.321, 0.000), Pd at (0.000, 0.000, 0.500) and Pt at (0.132, 0.632, 0.500).

For the density of states at the Fermi level, the calculation gives 0.07 states/eV per atom. As for the excess energy over the best structure of this formula in the dataset: 0 meV/atom.

=====

No. 4
Compound: K2PdPt3
Source: Alexandria
Functional: GGA-PBE
Structure: optimized geometry

The structure belongs to space group C2/m (No. 12); the cell edges are 9.514, 5.507 and 5.600 Å and the angles 90.00°, 124.49° and 90.00°. Symmetry generates all atoms from K at (0.126, 0.000, 0.378), Pd at (0.000, 0.500, 0.500), Pt at (0.000, 0.500, 0.000) and Pt at (0.250, 0.250, 0.000).

For the density of states at the Fermi level, the calculation gives 0.59 states/eV per atom. The value obtained for the electronic total energy is -4.414 eV per atom.

=====

No. 5
Compound: KPdPt3
Source: Alexandria
Functional: GGA-PBE
Structure: optimized geometry

The structure belongs to space group Pm-3m (No. 221); the cell edges are 4.848, 4.848 and 4.848 Å and the angles 90.00°, 90.00° and 90.00°. Symmetry generates all atoms from K at (0.000, 0.000, 0.000), Pd at (0.500, 0.500, 0.500) and Pt at (0.000, 0.000, 0.500).

For the density of states at the Fermi level, the calculation gives 1.37 states/eV per atom. As for the excess energy over the best structure of this formula in the dataset: 1347 meV/atom.

=====

No. 6
Compound: K2PdPt
Source: Alexandria
Functional: GGA-PBE
Structure: optimized geometry

The structure belongs to space group I-42d (No. 122); the cell edges are 4.219, 4.219 and 21.479 Å and the angles 90.00°, 90.00° and 90.00°. Symmetry generates all atoms from K at (0.249, 0.250, 0.125), Pd at (0.000, 0.000, 0.000) and Pt at (0.000, 0.000, 0.500).

For the density of states at the Fermi level, the calculation gives 0.32 states/eV per atom. As for the excess energy over the best structure of this formula in the dataset: 0 meV/atom.

=====

No. 7
Compound: KPd2Pt
Source: Alexandria
Functional: GGA-PBE
Structure: optimized geometry

The structure belongs to space group I-42d (No. 122); the cell edges are 5.080, 5.080 and 17.496 Å and the angles 90.00°, 90.00° and 90.00°. Symmetry generates all atoms from K at (0.000, 0.000, 0.000), Pd at (0.051, 0.250, 0.625) and Pt at (0.000, 0.000, 0.500).

For the density of states at the Fermi level, the calculation gives 0.80 states/eV per atom. As for the excess energy over the best structure of this formula in the dataset: 53 meV/atom.

=====

No. 8
Compound: KPd3Pt2
Source: Alexandria
Functional: GGA-PBE
Structure: optimized geometry

The structure belongs to space group Cmcm (No. 63); the cell edges are 10.698, 8.936 and 5.309 Å and the angles 90.00°, 90.00° and 90.00°. Symmetry generates all atoms from K at (0.000, 0.169, 0.250), Pd at (0.000, 0.436, 0.750), Pd at (0.208, 0.240, 0.750) and Pt at (0.213, 0.500, 0.000).

For the density of states at the Fermi level, the calculation gives 1.61 states/eV per atom. The value obtained for the electronic total energy is -4.786 eV per atom.